1.
The following is a PBE calculation of crystalline Mg2BeSi at its relaxed geometry, from Alexandria via LeMat-Bulk.

Cell: 3.9120 3.8038 5.0181 Å, 90.00 112.23 90.00°
Space group Pm (No. 6)
Unique sites:
1 Mg 0.0000 0.0000 0.0000 [1 per cell]
2 Mg 0.2854 0.5000 0.5882 [1 per cell]
3 Be 0.5792 0.5000 0.1715 [1 per cell]
4 Si 0.7024 0.0000 0.4144 [1 per cell]

Summary:
Formation energy without anion corrections ... 7.5 kJ/mol of formula units
D(E_F) ... 1.3 states/eV/cell
Total magnetization ... 0.000 μB/cell
Offset from the most stable computed form ... 0.00 eV/f.u.

2.
The following is a PBE calculation of crystalline MgBe2Si at its relaxed geometry, from Alexandria via LeMat-Bulk.

Cell: 3.4222 3.7744 4.4994 Å, 90.00 90.00 90.00°
Space group Pmmm (No. 47)
Unique sites:
1 Mg 0.0000 0.0000 0.0000 [1 per cell]
2 Be 0.5000 0.5000 0.2430 [2 per cell]
3 Si 0.5000 0.0000 0.5000 [1 per cell]

Summary:
Formation energy without anion corrections ... 91.2 kJ/mol of formula units
D(E_F) ... 0.8 states/eV/cell
Total magnetization ... 0.000 μB/cell
Offset from the most stable computed form ... 0.75 eV/f.u.

Number 1: volume 69.1 Å³/cell. Number 2: volume 58.1 Å³/cell.